1.
BeNi5 (SCAN, single point on PBEsol structure); density of states at the Fermi level = 7.13 states/eV/cell; energy relative to the elements = -0.08 eV per atom; relative energy among the computed polymorphs = 77 meV/atom
1.0
4.1833 0.0000 0.0000
-2.0917 3.6229 0.0000
0.0000 0.0000 3.9303
Be Ni
1 5
direct
0.0000 0.0000 0.0000
0.0000 0.3297 0.5000
0.3297 0.0000 0.5000
0.3333 0.6667 0.0000
0.6667 0.3333 0.0000
0.6703 0.6703 0.5000

---

2.
BaGeOs3 (SCAN, single point on PBEsol structure); density of states at the Fermi level = 5.98 states/eV/cell; energy relative to the elements = 1.35 eV per atom
1.0
4.6795 0.0000 0.0000
0.0000 4.6795 0.0000
0.0000 0.0000 4.6795
Ba Ge Os
1 1 3
direct
0.0000 0.0000 0.0000
0.5000 0.5000 0.5000
0.0000 0.5000 0.5000
0.5000 0.0000 0.5000
0.5000 0.5000 0.0000